Entry 1:
A plane-wave DFT calculation with PBE was carried out for a relaxed Ac2Pr9Y crystal.

Properties
- formation energy from the elements (eV per atom) = 0.108
- calculated total energy (eV per atom) = -4.700
- symmetry = P4/mmm, No. 123

Geometry as extended XYZ:
```
12
Lattice="6.220 0.000 0.000 0.000 6.220 0.000 0.000 0.000 11.557" Properties=species:S:1:pos:R:3 pbc="T T T"
Ac 0.000 0.000 1.956
Ac 0.000 0.000 9.600
Pr 0.000 3.110 0.000
Pr 0.000 3.110 3.946
Pr 0.000 3.110 7.611
Pr 3.110 0.000 0.000
Pr 3.110 0.000 3.946
Pr 3.110 0.000 7.611
Pr 3.110 3.110 1.874
Pr 3.110 3.110 5.778
Pr 3.110 3.110 9.682
Y 0.000 0.000 5.778
```

***

Entry 2:
A plane-wave DFT calculation with PBE was carried out for a relaxed Ac4PrY6 crystal.

Properties
- formation energy from the elements (eV per atom) = 0.294
- calculated total energy (eV per atom) = -5.160
- symmetry = I-42m, No. 121

Geometry as extended XYZ:
```
11
Lattice="-3.642 3.642 8.052 3.642 -3.642 8.052 3.642 3.642 -8.052" Properties=species:S:1:pos:R:3 pbc="T T T"
Ac 2.191 2.191 -2.921
Ac 1.452 -1.452 10.973
Ac 1.452 1.452 5.130
Ac -1.452 1.452 10.973
Pr 0.000 0.000 8.052
Y 3.642 0.000 0.000
Y 2.462 -2.462 6.504
Y 1.181 1.181 1.547
Y 0.000 3.642 0.000
Y -2.462 2.462 6.504
Y 2.462 2.462 9.599
```

***

Entry 3:
A plane-wave DFT calculation with PBE was carried out for a relaxed Ac7Pr12Y crystal.

Properties
- formation energy from the elements (eV per atom) = 0.779
- calculated total energy (eV per atom) = -3.850
- symmetry = Im-3, No. 204

Geometry as extended XYZ:
```
20
Lattice="-6.121 6.121 6.121 6.121 -6.121 6.121 6.121 6.121 -6.121" Properties=species:S:1:pos:R:3 pbc="T T T"
Ac 3.061 3.061 -3.061
Ac 3.061 -3.061 3.061
Ac 6.121 0.000 0.000
Ac -3.061 3.061 3.061
Ac 0.000 6.121 0.000
Ac 0.000 0.000 6.121
Ac 3.061 3.061 3.061
Pr 6.121 3.170 -2.152
Pr 3.969 0.000 2.951
Pr 8.273 0.000 2.951
Pr 2.951 3.969 0.000
Pr 3.170 -2.152 6.121
Pr 6.121 3.170 2.152
Pr 0.000 2.951 3.969
Pr 2.951 8.273 0.000
Pr 3.170 2.152 6.121
Pr -2.152 6.121 3.170
Pr 2.152 6.121 3.170
Pr 0.000 2.951 8.273
Y 0.000 0.000 0.000
```

***

Entry 4:
A plane-wave DFT calculation with PBE was carried out for a relaxed Ac2Pr4Y5 crystal.

Properties
- formation energy from the elements (eV per atom) = 0.154
- calculated total energy (eV per atom) = -5.269
- symmetry = C2/m, No. 12

Geometry as extended XYZ:
```
11
Lattice="6.540 -3.468 0.000 6.540 3.468 0.000 -6.493 0.000 8.757" Properties=species:S:1:pos:R:3 pbc="T T T"
Ac -0.700 0.000 2.114
Ac 7.286 0.000 6.642
Pr 3.230 0.000 0.209
Pr 0.992 0.000 5.485
Pr 5.594 0.000 3.271
Pr 3.356 0.000 8.547
Y 2.335 1.811 2.914
Y 4.252 1.811 5.843
Y 6.540 0.000 0.000
Y 2.335 -1.811 2.914
Y 4.252 -1.811 5.843
```